Compound: BaPOsO
Source: OQMD
Functional: GGA-PBE
Structure: relaxed

Calculated values
Symmetry: No. 129
DFT total energy, eV per atom: -6.985
Total magnetization, μB per cell: 0.00
Crystal system: tetragonal
Distance to the lowest polymorph of the same formula, kJ/mol of formula units: 0.0

Cell: 4.133 4.133 10.012 Å, 90.00 90.00 90.00°
Atoms (fractional coordinates):
P1 0.000 0.500 0.610
P2 0.500 0.000 0.390
Os1 0.000 0.000 0.500
O1 0.000 0.000 0.000
Ba1 0.000 0.500 0.143
Os2 0.500 0.500 0.500
O2 0.500 0.500 0.000
Ba2 0.500 0.000 0.857


Compound: Pr2TcB5Os2
Source: OQMD
Functional: GGA-PBE
Structure: relaxed

Calculated values
Symmetry: No. 5
DFT total energy, eV per atom: -8.051
Total magnetization, μB per cell: 0.00
Crystal system: monoclinic

Cell: 5.736 5.736 8.142 Å, 122.71 122.71 41.87°
Atoms (fractional coordinates):
B1 0.735 0.265 0.500
Tc1 0.010 0.990 0.000
Os1 0.876 0.389 0.404
B2 0.087 0.626 0.687
Pr1 0.398 0.932 0.759
Pr2 0.068 0.602 0.241
B3 0.529 0.522 0.120
B4 0.374 0.913 0.313
Os2 0.611 0.124 0.596
B5 0.478 0.471 0.880


Compound: Na3AuN
Source: OQMD
Functional: GGA-PBE
Structure: relaxed

Calculated values
Symmetry: No. 221
DFT total energy, eV per atom: -2.875
Crystal system: cubic

Cell: 4.677 4.677 4.677 Å, 90.00 90.00 90.00°
Atoms (fractional coordinates):
N1 0.500 0.500 0.500
Au1 0.000 0.000 0.000
Na1 0.500 0.500 0.000
Na2 0.500 0.000 0.500
Na3 0.000 0.500 0.500